Record 1
# PBE with a Hubbard U Na2MnCdFeP3O12, relaxed
# **Space-group type**: P1 (1)
data_Na2MnCdFeP3O12
_cell_length_a 6.6227
_cell_length_b 8.8617
_cell_length_c 8.9315
_cell_angle_alpha 92.24
_cell_angle_beta 106.93
_cell_angle_gamma 106.29
_space_group_name_H-M_alt 'P 1'
_space_group_IT_number 1
loop_
_space_group_symop_operation_xyz
'x,y,z'
loop_
_atom_site_label
_atom_site_fract_x
_atom_site_fract_y
_atom_site_fract_z
Na1 0.0000 0.0000 0.0000
Na2 0.0094 0.2942 0.7082
Na3 0.5090 0.2469 0.7602
Na4 0.7622 0.7735 0.2309
Mn1 0.4063 0.6426 0.8109
Mn2 0.6138 0.1948 0.3578
Cd1 0.2527 0.7750 0.2309
Cd2 0.5132 0.5344 0.4696
Fe1 0.1186 0.8822 0.6725
Fe2 0.8999 0.3284 0.1244
P1 0.0124 0.5509 0.4565
P2 0.1327 0.1298 0.3990
P3 0.3871 0.4016 0.0863
P4 0.5071 0.9892 0.0096
P5 0.6237 0.9199 0.6021
P6 0.8956 0.6034 0.8743
O1 0.0220 0.5290 0.2829
O2 0.0775 0.6663 0.7934
O3 0.0977 0.9829 0.2858
O4 0.1292 0.0829 0.5671
O5 0.1692 0.2826 0.0983
O6 0.2217 0.5228 0.5685
O7 0.2962 0.0061 0.8839
O8 0.3548 0.4241 0.9108
O9 0.3603 0.2580 0.4281
O10 0.4333 0.8644 0.6754
O11 0.4398 0.5598 0.1948
O12 0.4709 0.0040 0.1732
O13 0.5512 0.8297 0.9933
O14 0.5589 0.8074 0.4433
O15 0.5844 0.3323 0.1468
O16 0.6604 0.0955 0.5770
O17 0.6646 0.5798 0.7513
O18 0.7107 0.1219 0.9944
O19 0.8059 0.4353 0.4827
O20 0.8437 0.9028 0.7138
O21 0.8923 0.4348 0.9239
O22 0.9422 0.7216 0.0215
O23 0.9432 0.2062 0.3298
O24 0.9993 0.7231 0.4787

---

Record 2
# PBE with a Hubbard U MnCdFe2O4, relaxed
# **Space-group type**: P-1 (2)
data_MnCdFe2O4
_cell_length_a 6.3812
_cell_length_b 6.3969
_cell_length_c 6.4010
_cell_angle_alpha 119.82
_cell_angle_beta 90.47
_cell_angle_gamma 119.48
_space_group_name_H-M_alt 'P 1'
_space_group_IT_number 1
loop_
_space_group_symop_operation_xyz
'x,y,z'
loop_
_atom_site_label
_atom_site_fract_x
_atom_site_fract_y
_atom_site_fract_z
Mn1 0.0000 0.0000 0.0000
Mn2 0.0000 0.0000 0.5000
Cd1 0.0000 0.5000 0.0000
Cd2 0.5000 0.5000 0.0000
Fe1 0.0000 0.5000 0.5000
Fe2 0.5000 0.0000 0.0000
Fe3 0.5000 0.0000 0.5000
Fe4 0.5000 0.5000 0.5000
O1 0.2376 0.9908 0.7445
O2 0.2464 0.4946 0.2764
O3 0.2626 0.0097 0.2700
O4 0.2650 0.5296 0.7521
O5 0.7350 0.4704 0.2479
O6 0.7374 0.9903 0.7300
O7 0.7536 0.5054 0.7236
O8 0.7624 0.0092 0.2555

---

| no. | VASP energy (eV/atom) | M_tot (μB per atom) |
| --- | --- | --- |
| 1 | -6.6759 | 0.50 |
| 2 | -6.2510 | 1.62 |